{"formula": "Cs2SrSi", "functional": "PBE", "state": "relaxed", "cell": [[-0.079, -5.761, 2.697], [-5.195, -2.000, 3.079], [-3.588, -4.627, -2.487]], "species": ["Sr", "Si", "Cs", "Cs"], "frac_coords": [[0.500, 0.500, 0.500], [0.000, 0.000, 0.000], [0.250, 0.250, 0.250], [0.750, 0.750, 0.750]], "dos_ef_per_ev_fu": 2.31, "final_energy_ev_per_cell": -6.6, "m_tot_mub_per_fu": 0.00, "sg": "Fm-3m, No. 225"}